This record from the Alexandria database describes a geometry-optimized La3Tb4Nd5 structure. The functional is PBE.

As for the formation energy: 0.213 eV per atom. The calculation puts the density of states at the Fermi level at 19.86 states/eV per cell. Its uncorrected energy is -0.33430 Ry/atom.

Unit cell a=6.066 b=8.775 c=9.832 alpha=106.15 beta=72.03 gamma=69.78
Each line ends with the local moment (μB).
Fractional coordinates of all 12 atoms:
La1 0.513 0.693 0.282  0.00
La2 0.000 0.500 0.500  0.07
La3 0.487 0.307 0.718  0.00
Tb1 0.858 0.222 0.063  0.00
Tb2 0.161 0.048 0.630  0.00
Tb3 0.839 0.952 0.370  0.00
Tb4 0.142 0.778 0.937  0.00
Nd1 0.624 0.952 0.800  0.00
Nd2 0.500 0.500 0.500  0.07
Nd3 0.221 0.453 0.106  0.00
Nd4 0.779 0.547 0.894  0.00
Nd5 0.376 0.048 0.200  0.00

***

This record from the Alexandria database describes a geometry-optimized La6Tb2Nd5 structure. The functional is PBE.

As for the formation energy: 0.091 eV per atom. The calculation puts the density of states at the Fermi level at 35.72 states/eV per cell. Its uncorrected energy is -0.34758 Ry/atom.

Unit cell a=3.690 b=11.924 c=21.305 alpha=90.00 beta=90.00 gamma=90.00
Fractional coordinates of all 26 atoms:
La1 0.000 0.083 0.368
La2 0.000 0.917 0.632
La3 0.000 0.583 0.132
La4 0.000 0.417 0.868
La5 0.500 0.326 0.138
La6 0.500 0.674 0.862
La7 0.500 0.826 0.362
La8 0.500 0.174 0.638
La9 0.000 0.564 0.420
La10 0.000 0.436 0.580
La11 0.000 0.064 0.080
La12 0.000 0.936 0.920
Tb1 0.000 0.333 0.290
Tb2 0.000 0.667 0.710
Tb3 0.000 0.833 0.210
Tb4 0.000 0.167 0.790
Nd1 0.500 0.304 0.444
Nd2 0.500 0.696 0.556
Nd3 0.500 0.804 0.056
Nd4 0.500 0.196 0.944
Nd5 0.500 0.590 0.273
Nd6 0.500 0.410 0.727
Nd7 0.500 0.090 0.227
Nd8 0.500 0.910 0.773
Nd9 0.500 0.500 0.000
Nd10 0.500 0.000 0.500

***

This record from the Alexandria database describes a geometry-optimized LaTb7Nd12 structure. The functional is PBE.

As for the formation energy: 0.207 eV per atom. The calculation puts the density of states at the Fermi level at 29.84 states/eV per cell. Its uncorrected energy is -0.33225 Ry/atom.

Unit cell a=10.283 b=10.283 c=10.283 alpha=113.09 beta=113.09 gamma=113.09
Fractional coordinates of all 20 atoms:
La1 0.000 0.000 0.000
Tb1 0.836 0.506 0.836
Tb2 0.494 0.164 0.164
Tb3 0.164 0.164 0.494
Tb4 0.500 0.500 0.500
Tb5 0.836 0.836 0.506
Tb6 0.506 0.836 0.836
Tb7 0.164 0.494 0.164
Nd1 0.999 0.286 0.713
Nd2 0.714 0.287 0.001
Nd3 0.413 0.071 0.413
Nd4 0.929 0.587 0.587
Nd5 0.287 0.001 0.714
Nd6 0.587 0.587 0.929
Nd7 0.413 0.413 0.071
Nd8 0.713 0.999 0.286
Nd9 0.071 0.413 0.413
Nd10 0.587 0.929 0.587
Nd11 0.286 0.713 0.999
Nd12 0.001 0.714 0.287

***

This record from the Alexandria database describes a geometry-optimized La6TbNd structure. The functional is PBE.

As for the formation energy: 0.007 eV per atom. The calculation puts the density of states at the Fermi level at 12.42 states/eV per cell. Its uncorrected energy is -0.35748 Ry/atom.

Unit cell a=5.227 b=5.227 c=10.461 alpha=90.00 beta=90.00 gamma=90.00
Fractional coordinates of all 8 atoms:
La1 0.500 0.500 0.000
La2 0.500 0.500 0.500
La3 0.500 0.000 0.251
La4 0.500 0.000 0.749
La5 0.000 0.500 0.251
La6 0.000 0.500 0.749
Tb1 0.000 0.000 0.500
Nd1 0.000 0.000 0.000

***

This record from the Alexandria database describes a geometry-optimized La5Tb2Nd5 structure. The functional is PBE.

As for the formation energy: 0.019 eV per atom. The calculation puts the density of states at the Fermi level at 22.19 states/eV per cell. Its uncorrected energy is -0.35226 Ry/atom.

Unit cell a=5.228 b=11.021 c=8.272 alpha=98.72 beta=71.58 gamma=76.28
Fractional coordinates of all 12 atoms:
La1 0.665 0.253 0.417
La2 0.996 0.253 0.754
La3 0.004 0.747 0.246
La4 0.335 0.747 0.583
La5 0.000 0.000 0.000
Tb1 0.332 0.500 0.835
Tb2 0.668 0.500 0.165
Nd1 0.000 0.500 0.500
Nd2 0.669 0.746 0.916
Nd3 0.333 0.000 0.335
Nd4 0.667 0.000 0.665
Nd5 0.331 0.254 0.084

***

This record from the Alexandria database describes a geometry-optimized LaTb2Nd2 structure. The functional is PBE.

As for the formation energy: 0.021 eV per atom. The calculation puts the density of states at the Fermi level at 7.60 states/eV per cell. Its uncorrected energy is -0.34718 Ry/atom.

Unit cell a=3.649 b=3.649 c=13.168 alpha=97.96 beta=97.96 gamma=90.00
Fractional coordinates of all 5 atoms:
La1 0.000 0.000 0.000
Tb1 0.798 0.798 0.596
Tb2 0.202 0.202 0.404
Nd1 0.604 0.604 0.207
Nd2 0.396 0.396 0.793

***

This record from the Alexandria database describes a geometry-optimized La4Tb4Nd5 structure. The functional is PBE.

As for the formation energy: 0.021 eV per atom. The calculation puts the density of states at the Fermi level at 22.27 states/eV per cell. Its uncorrected energy is -0.34939 Ry/atom.

Unit cell a=5.193 b=9.695 c=9.706 alpha=85.84 beta=74.45 gamma=74.53
Fractional coordinates of all 13 atoms:
La1 0.922 0.460 0.695
La2 0.617 0.306 0.460
La3 0.078 0.540 0.305
La4 0.383 0.694 0.540
Tb1 0.769 0.385 0.077
Tb2 0.231 0.615 0.923
Tb3 0.846 0.923 0.385
Tb4 0.154 0.077 0.615
Nd1 0.691 0.850 0.769
Nd2 0.309 0.150 0.231
Nd3 0.000 0.000 0.000
Nd4 0.541 0.769 0.150
Nd5 0.459 0.231 0.850

***

This record from the Alexandria database describes a geometry-optimized La8TbNd3 structure. The functional is PBE.

As for the formation energy: 0.278 eV per atom. The calculation puts the density of states at the Fermi level at 19.44 states/eV per cell. Its uncorrected energy is -0.33700 Ry/atom.

Unit cell a=8.878 b=8.878 c=8.878 alpha=96.39 beta=100.79 gamma=134.54
Fractional coordinates of all 12 atoms:
La1 0.495 0.224 0.271
La2 0.505 0.776 0.729
La3 0.047 0.776 0.271
La4 0.953 0.224 0.729
La5 0.164 0.248 0.412
La6 0.836 0.248 0.084
La7 0.164 0.752 0.916
La8 0.836 0.752 0.588
Tb1 0.000 0.000 0.000
Nd1 0.500 0.755 0.255
Nd2 0.500 0.245 0.745
Nd3 0.000 0.500 0.500

***

This record from the Alexandria database describes a geometry-optimized La8TbNd6 structure. The functional is PBE.

As for the formation energy: 0.144 eV per atom. The calculation puts the density of states at the Fermi level at 24.23 states/eV per cell. Its uncorrected energy is -0.34540 Ry/atom.

Unit cell a=6.776 b=9.622 c=9.622 alpha=120.00 beta=90.00 gamma=90.00
Fractional coordinates of all 15 atoms:
La1 0.836 0.034 0.288
La2 0.836 0.712 0.746
La3 0.836 0.254 0.966
La4 0.164 0.966 0.712
La5 0.164 0.288 0.254
La6 0.164 0.746 0.034
La7 0.886 0.333 0.667
La8 0.114 0.667 0.333
Tb1 0.500 0.000 0.000
Nd1 0.652 0.659 0.088
Nd2 0.652 0.912 0.570
Nd3 0.652 0.430 0.341
Nd4 0.348 0.341 0.912
Nd5 0.348 0.088 0.430
Nd6 0.348 0.570 0.659

***

This record from the Alexandria database describes a geometry-optimized LaTb6Nd12 structure. The functional is PBE.

As for the formation energy: 0.129 eV per atom. The calculation puts the density of states at the Fermi level at 31.20 states/eV per cell. Its uncorrected energy is -0.33834 Ry/atom.

Unit cell a=8.729 b=8.729 c=8.729 alpha=88.90 beta=88.90 gamma=88.90
Fractional coordinates of all 19 atoms:
La1 0.000 0.000 0.000
Tb1 0.741 0.902 0.301
Tb2 0.699 0.259 0.098
Tb3 0.098 0.699 0.259
Tb4 0.259 0.098 0.699
Tb5 0.301 0.741 0.902
Tb6 0.902 0.301 0.741
Nd1 0.780 0.537 0.433
Nd2 0.433 0.780 0.537
Nd3 0.537 0.433 0.780
Nd4 0.220 0.463 0.567
Nd5 0.567 0.220 0.463
Nd6 0.463 0.567 0.220
Nd7 0.017 0.197 0.362
Nd8 0.803 0.638 0.983
Nd9 0.638 0.983 0.803
Nd10 0.983 0.803 0.638
Nd11 0.197 0.362 0.017
Nd12 0.362 0.017 0.197

***

This record from the Alexandria database describes a geometry-optimized La7TbNd2 structure. The functional is PBE.

As for the formation energy: 0.125 eV per atom. The calculation puts the density of states at the Fermi level at 19.39 states/eV per cell. Its uncorrected energy is -0.34841 Ry/atom.

Unit cell a=3.533 b=12.130 c=9.050 alpha=112.44 beta=90.00 gamma=90.00
Fractional coordinates of all 10 atoms:
La1 0.000 0.612 0.219
La2 0.000 0.388 0.781
La3 0.500 0.194 0.385
La4 0.500 0.806 0.615
La5 0.500 0.310 0.087
La6 0.500 0.690 0.913
La7 0.500 0.500 0.500
Tb1 0.000 0.000 0.000
Nd1 0.500 0.898 0.295
Nd2 0.500 0.102 0.705

***

This record from the Alexandria database describes a geometry-optimized La5Tb4Nd4 structure. The functional is PBE.

As for the formation energy: 0.023 eV per atom. The calculation puts the density of states at the Fermi level at 22.54 states/eV per cell. Its uncorrected energy is -0.35015 Ry/atom.

Unit cell a=5.177 b=9.729 c=9.729 alpha=85.94 beta=74.57 gamma=74.57
Fractional coordinates of all 13 atoms:
La1 0.692 0.848 0.768
La2 0.308 0.152 0.232
La3 0.000 0.000 0.000
La4 0.540 0.768 0.152
La5 0.460 0.232 0.848
Tb1 0.767 0.388 0.078
Tb2 0.233 0.612 0.922
Tb3 0.845 0.922 0.388
Tb4 0.155 0.078 0.612
Nd1 0.923 0.461 0.693
Nd2 0.616 0.307 0.461
Nd3 0.077 0.539 0.307
Nd4 0.384 0.693 0.539